{"formula": "Ti2ZnCu", "functional": "PBE", "state": "relaxed", "e_form_ev_per_atom": 0.23, "volume_a3_per_atom": 15.8, "cell": [[-3.5917, 3.5917, 2.4535], [3.5917, -3.5917, 2.4535], [3.5917, 3.5917, -2.4535]], "species": ["Ti", "Ti", "Ti", "Ti", "Zn", "Zn", "Cu", "Cu"], "frac_coords": [[0.1103, 0.6250, 0.9853], [0.3750, 0.3603, 0.4853], [0.6397, 0.1250, 0.0147], [0.8750, 0.8897, 0.5147], [0.2500, 0.7500, 0.5000], [0.5000, 0.5000, 0.0000], [0.0000, 0.0000, 0.0000], [0.7500, 0.2500, 0.5000]]}